No. 1
DFT (PBE-GGA) results for an optimized crystal structure of ZnFe2Te.

abc: 8.569 8.569 8.569
angles: 20.81 20.81 20.81
Sites, in units of the cell vectors:
Zn (0.266, 0.266, 0.266)
Fe (0.008, 0.008, 0.008)
Fe (0.740, 0.740, 0.740)
Te (0.486, 0.486, 0.486)

Final energy ... -19.9 eV for the cell shown
Formation energy without anion corrections ... 358 meV/atom

=====

No. 2
DFT (PBE-GGA) results for an optimized crystal structure of ZnFe2Te.

abc: 3.361 3.361 5.567
angles: 90.00 90.00 90.00
Sites, in units of the cell vectors:
Zn (0.500, 0.500, 0.794)
Te (0.000, 0.000, 0.475)
Fe (0.500, 0.500, 0.233)
Fe (0.000, 0.000, 0.998)

Final energy ... -20.4 eV for the cell shown
Formation energy without anion corrections ... 234 meV/atom

=====

No. 3
DFT (PBE-GGA) results for an optimized crystal structure of ZnFe2Te.

abc: 3.386 3.061 6.595
angles: 90.00 90.00 90.00
Sites, in units of the cell vectors:
Zn (0.500, 0.750, 0.750)
Fe (0.000, 0.250, 0.931)
Fe (0.000, 0.250, 0.569)
Te (0.500, 0.250, 0.250)

Final energy ... -20.0 eV for the cell shown
Formation energy without anion corrections ... 344 meV/atom

=====

No. 4
DFT (PBE-GGA) results for an optimized crystal structure of ZnFe2Te.

abc: 4.165 6.829 3.458
angles: 59.50 90.06 127.52
Sites, in units of the cell vectors:
Fe (0.000, 0.500, 0.500)
Fe (0.000, 0.000, 0.000)
Zn (0.500, 0.000, 0.500)
Te (0.500, 0.500, 0.000)

Final energy ... -19.9 eV for the cell shown
Formation energy without anion corrections ... 352 meV/atom

=====

No. 5
DFT (PBE-GGA) results for an optimized crystal structure of ZnFe2Te.

abc: 4.478 4.478 4.784
angles: 77.91 77.91 44.56
Sites, in units of the cell vectors:
Te (0.750, 0.750, 0.750)
Fe (0.993, 0.993, 0.059)
Fe (0.507, 0.507, 0.441)
Zn (0.250, 0.250, 0.250)

Final energy ... -20.0 eV for the cell shown
Formation energy without anion corrections ... 334 meV/atom

=====

No. 6
DFT (PBE-GGA) results for an optimized crystal structure of ZnFe2Te.

abc: 3.082 3.082 5.864
angles: 90.00 90.00 90.00
Sites, in units of the cell vectors:
Fe (0.000, 0.000, 0.503)
Fe (0.000, 0.000, 0.997)
Te (0.500, 0.500, 0.250)
Zn (0.500, 0.500, 0.750)

Final energy ... -19.6 eV for the cell shown
Formation energy without anion corrections ... 424 meV/atom

=====

No. 7
DFT (PBE-GGA) results for an optimized crystal structure of ZnFe2Te.

abc: 8.071 8.071 8.071
angles: 21.93 21.93 21.93
Sites, in units of the cell vectors:
Te (0.750, 0.750, 0.750)
Fe (0.998, 0.998, 0.998)
Fe (0.502, 0.502, 0.502)
Zn (0.250, 0.250, 0.250)

Final energy ... -19.5 eV for the cell shown
Formation energy without anion corrections ... 460 meV/atom

=====

No. 8
DFT (PBE-GGA) results for an optimized crystal structure of ZnFe2Te.

abc: 3.892 3.387 5.182
angles: 70.98 90.00 90.00
Sites, in units of the cell vectors:
Te (0.000, 0.474, 0.427)
Fe (0.000, 0.202, 0.970)
Fe (0.500, 0.059, 0.256)
Zn (0.500, 0.764, 0.846)

Final energy ... -20.3 eV for the cell shown
Formation energy without anion corrections ... 256 meV/atom